# 1
Entry from Alexandria via LeMat-Bulk: crystalline ReRuSe at its relaxed geometry (PBE-GGA).

Raw formation energy   40.9 kJ/mol of atoms
DOS(E_F)   2.92 states/eV/cell

a b c (Å): 4.2199 4.2199 2.9566
angles (deg): 90.00 90.00 120.00
With the nearest neighbours (Å) after each atom.
Space group P-6m2 (No. 187)
One atom of each set of equivalent atoms:
Re 0.0000 0.0000 0.0000 (multiplicity 1)  3 Se 2.44
Ru 0.6667 0.3333 0.5000 (multiplicity 1)  6 Re 2.85, 6 Se 2.85, 2 Ru 2.96
Se 0.3333 0.6667 0.0000 (multiplicity 1)  3 Re 2.44

# 2
Entry from Alexandria via LeMat-Bulk: crystalline ReRuSe at its relaxed geometry (PBE-GGA).

Raw formation energy   27.0 kJ/mol of atoms
DOS(E_F)   1.66 states/eV/cell

a b c (Å): 2.9101 2.9101 6.2128
angles (deg): 90.00 90.00 120.00
With the nearest neighbours (Å) after each atom.
Space group P3m1 (No. 156)
One atom of each set of equivalent atoms:
Re 0.0000 0.0000 0.0000 (multiplicity 1)  3 Ru 2.64, 3 Se 2.64, 6 Re 2.91
Ru 0.6667 0.3333 0.3283 (multiplicity 1)  3 Re 2.64, 3 Se 2.71, 6 Ru 2.91
Se 0.3333 0.6667 0.6715 (multiplicity 1)  3 Re 2.64, 3 Ru 2.71, 6 Se 2.91

# 3
Entry from Alexandria via LeMat-Bulk: crystalline ReRu2Se at its relaxed geometry (PBE-GGA).

Raw formation energy   32.9 kJ/mol of atoms
DOS(E_F)   10.15 states/eV/cell

a b c (Å): 2.8547 2.8547 25.2022
angles (deg): 90.00 90.00 120.00
With the nearest neighbours (Å) after each atom.
Space group R3m (No. 160, hexagonal axes)
One atom of each set of equivalent atoms:
Re 0.0000 0.0000 0.0000 (multiplicity 3)  3 Ru 2.66, 3 Se 2.70, 6 Re 2.85
Ru 0.0000 0.0000 0.2504 (multiplicity 3)  3 Re 2.66, 9 Ru 2.73-2.85
Ru 0.0000 0.0000 0.4971 (multiplicity 3)  3 Se 2.58, 9 Ru 2.73-2.85
Se 0.0000 0.0000 0.7516 (multiplicity 3)  3 Ru 2.58, 3 Re 2.70, 6 Se 2.85

Q: What is the formula in the second record?
A: ReRuSe

Q: What is the DOS(E_F) in the first record?
A: 2.92 states/eV/cell

Q: Which of these has the lowest DOS(E_F)?
A: number 2